Run 1
The following is a PBE with a Hubbard U calculation of a relaxed structure of MgCoSO, from OQMD.

- M_tot: 6.00 μB/cell
- Symmetry: No. 36

Cell lengths 6.5430, 6.5430, 5.4807 Å; angles 90.00, 90.00, 30.42 degrees
Closest atoms and distances in Å follow each position.
Positions (direct):
S1 0.6731 0.6731 0.0106  2 Co 2.32, 1 Mg 2.54
Co1 0.9374 0.9374 0.3855  2 O 1.93-1.99
Mg1 0.3381 0.3381 0.9725  2 O 2.04
S2 0.3269 0.3269 0.5106  2 Co 2.32, 1 Mg 2.54
Co2 0.0626 0.0626 0.8855  2 O 1.93-1.99
Mg2 0.6619 0.6619 0.4725  2 O 2.04
O1 0.9219 0.9219 0.0241  2 Co 1.93-1.99, 2 Mg 2.04
O2 0.0781 0.0781 0.5241  2 Co 1.93-1.99, 2 Mg 2.04


Run 2
The following is a PBE with a Hubbard U calculation of a relaxed structure of MgCoSO, from OQMD.

- M_tot: 12.00 μB/cell
- Symmetry: No. 62

Cell lengths 5.6327, 3.4195, 12.3665 Å; angles 90.00, 90.00, 90.00 degrees
Closest atoms and distances in Å follow each position.
Positions (direct):
Mg1 0.6202 0.2500 0.1897  2 O 1.93-1.94
O1 0.7210 0.7500 0.8283  2 Mg 1.93-1.94, 2 Co 2.09
S1 0.2831 0.7500 0.4283  2 Mg 2.43, 3 Co 2.43-2.52
S2 0.2169 0.2500 0.9283  2 Mg 2.43, 3 Co 2.43-2.52
Mg2 0.1202 0.2500 0.3103  2 O 1.93-1.94
Mg3 0.8798 0.7500 0.6897  2 O 1.93-1.94
O2 0.7790 0.2500 0.3283  2 Mg 1.93-1.94, 2 Co 2.09
O3 0.2790 0.2500 0.1717  2 Mg 1.93-1.94, 2 Co 2.09
Mg4 0.3798 0.7500 0.8103  2 O 1.93-1.94
Co1 0.2145 0.7500 0.0784  2 O 2.09
Co2 0.2855 0.2500 0.5784  2 O 2.09
S3 0.7831 0.7500 0.0717  2 Mg 2.43, 3 Co 2.43-2.52
Co3 0.7855 0.2500 0.9216  2 O 2.09
Co4 0.7145 0.7500 0.4216  2 O 2.09
O4 0.2210 0.7500 0.6717  2 Mg 1.93-1.94, 2 Co 2.09
S4 0.7169 0.2500 0.5717  2 Mg 2.43, 3 Co 2.43-2.52


Which is the most stable structure? run 1 is the most stable.


Run 1
The following is a PBE with a Hubbard U calculation of a relaxed structure of MgCoSO, from OQMD.

- M_tot: 6.00 μB/cell
- Symmetry: No. 186

Cell lengths 3.4513, 3.4514, 11.2319 Å; angles 90.00, 90.00, 120.00 degrees
Closest atoms and distances in Å follow each position.
Positions (direct):
Mg1 0.6667 0.3334 0.7700  3 O 2.09
S1 0.6667 0.3334 0.0955  3 Co 2.28
S2 0.3333 0.6667 0.5955  3 Co 2.28
Mg2 0.3333 0.6667 0.2700  3 O 2.09
Co1 0.0000 0.0000 0.9963  1 O 1.91
O1 0.0000 0.0000 0.8260  1 Co 1.91, 3 Mg 2.09
O2 0.0000 0.0000 0.3260  1 Co 1.91, 3 Mg 2.09
Co2 0.0000 0.0000 0.4963  1 O 1.91


Run 2
The following is a PBE with a Hubbard U calculation of a relaxed structure of MgCoSO, from OQMD.

- M_tot: 12.00 μB/cell
- Symmetry: No. 19

Cell lengths 5.6559, 6.9236, 6.7487 Å; angles 90.00, 90.00, 90.00 degrees
Closest atoms and distances in Å follow each position.
Positions (direct):
S1 0.9654 0.8825 0.1299  3 Co 2.36-2.49, 2 Mg 2.49-2.53
O1 0.5468 0.1952 0.1167  1 Co 1.87, 2 Mg 1.90-1.93
Mg1 0.2127 0.1787 0.0965  2 O 1.90-1.93
S2 0.5346 0.1175 0.6299  3 Co 2.36-2.49, 2 Mg 2.49-2.53
Mg2 0.7873 0.6787 0.4035  2 O 1.90-1.93
O2 0.9532 0.8048 0.6167  1 Co 1.87, 2 Mg 1.90-1.93
S3 0.4654 0.6175 0.8701  3 Co 2.36-2.49, 2 Mg 2.49-2.53
Co1 0.2445 0.3722 0.6730  1 O 1.87
O3 0.0468 0.3048 0.8833  1 Co 1.87, 2 Mg 1.90-1.93
Mg3 0.7127 0.3213 0.9035  2 O 1.90-1.93
Mg4 0.2873 0.8213 0.5965  2 O 1.90-1.93
Co2 0.7555 0.8722 0.8270  1 O 1.87
Co3 0.2555 0.6278 0.1730  1 O 1.87
Co4 0.7445 0.1278 0.3270  1 O 1.87
S4 0.0346 0.3825 0.3701  3 Co 2.36-2.49, 2 Mg 2.49-2.53
O4 0.4532 0.6952 0.3833  1 Co 1.87, 2 Mg 1.90-1.93


Run 3
The following is a PBE with a Hubbard U calculation of a relaxed structure of MgCoSO, from OQMD.

- M_tot: 6.00 μB/cell
- Symmetry: No. 36

Cell lengths 3.5071, 3.4901, 11.2525 Å; angles 90.00, 90.00, 120.16 degrees
Closest atoms and distances in Å follow each position.
Positions (direct):
Co1 0.6654 0.3309 0.7579  3 O 2.16
Co2 0.3346 0.6691 0.2579  3 O 2.16
Mg1 0.0002 0.0004 0.9945  1 O 1.90
Mg2 0.9998 0.9996 0.4945  1 O 1.90
S1 0.6656 0.3313 0.1097  3 Mg 2.40, 3 Co 2.60-2.63
S2 0.3344 0.6687 0.6097  3 Mg 2.40, 3 Co 2.60-2.63
O1 0.0000 0.9998 0.3256  1 Mg 1.90
O2 0.0000 0.0002 0.8256  1 Mg 1.90


Run 4
The following is a PBE with a Hubbard U calculation of a relaxed structure of MgCoSO, from OQMD.

- M_tot: 5.42 μB/cell
- Symmetry: No. 63

Cell lengths 6.3772, 6.3772, 5.4525 Å; angles 90.00, 90.00, 28.06 degrees
Closest atoms and distances in Å follow each position.
Positions (direct):
S1 0.7716 0.7716 0.2500  2 Co 2.26
Co1 0.1381 0.1381 0.2500  2 O 2.19, 2 S 2.26
Co2 0.8619 0.8619 0.7500  2 O 2.19, 2 S 2.26
O1 0.0000 0.0000 0.0000  2 Co 2.19, 4 Mg 2.19
Mg1 0.5601 0.5601 0.7500  4 O 2.19
S2 0.2284 0.2284 0.7500  2 Co 2.26
Mg2 0.4399 0.4399 0.2500  4 O 2.19
O2 0.0000 0.0000 0.5000  2 Co 2.19, 4 Mg 2.19


Which is the most stable structure? run 1 is the most stable.


Run 1
The following is a PBE with a Hubbard U calculation of a relaxed structure of MgCoSeO, from OQMD.

- M_tot: 24.00 μB/cell
- Symmetry: No. 61

Cell lengths 7.4201, 7.9754, 8.1604 Å; angles 90.00, 90.00, 90.00 degrees
Closest atoms and distances in Å follow each position.
Positions (direct):
Co1 0.2508 0.7499 0.7483  2 O 2.04
Se1 0.4998 0.4998 0.7509  4 Co 2.72-2.73, 4 Mg 2.75-2.77
Co2 0.2492 0.2499 0.7483  2 O 2.04
Se2 0.5002 0.9998 0.7491  4 Co 2.72-2.73, 4 Mg 2.75-2.77
Se3 0.9998 0.0002 0.2491  4 Co 2.72-2.73, 4 Mg 2.75-2.77
Co3 0.7492 0.2499 0.7517  2 O 2.04
Co4 0.7508 0.7499 0.7517  2 O 2.04
Se4 0.9998 0.4998 0.7491  4 Co 2.72-2.73, 4 Mg 2.75-2.77
Co5 0.2492 0.2501 0.2483  2 O 2.04
Mg1 0.7517 0.4997 0.0015  2 O 1.99
O1 0.7500 0.2503 0.5014  2 Mg 1.99, 2 Co 2.04
Co6 0.7492 0.2501 0.2517  2 O 2.04
O2 0.2500 0.7503 0.9986  2 Mg 1.99, 2 Co 2.04
Mg2 0.7483 0.9997 0.0015  2 O 1.99
O3 0.2500 0.7497 0.4986  2 Mg 1.99, 2 Co 2.04
Co7 0.2508 0.7501 0.2483  2 O 2.04
Mg3 0.2483 0.9997 0.4985  2 O 1.99
O4 0.2500 0.2503 0.9986  2 Mg 1.99, 2 Co 2.04
Mg4 0.2483 0.5003 0.9985  2 O 1.99
Se5 0.5002 0.5002 0.2491  4 Co 2.72-2.73, 4 Mg 2.75-2.77
Se6 0.0002 0.9998 0.7509  4 Co 2.72-2.73, 4 Mg 2.75-2.77
Mg5 0.7483 0.5003 0.5015  2 O 1.99
Mg6 0.2517 0.4997 0.4985  2 O 1.99
O5 0.7500 0.7497 0.0014  2 Mg 1.99, 2 Co 2.04
O6 0.7500 0.7503 0.5014  2 Mg 1.99, 2 Co 2.04
Se7 0.0002 0.5002 0.2509  4 Co 2.72-2.73, 4 Mg 2.75-2.77
O7 0.7500 0.2497 0.0014  2 Mg 1.99, 2 Co 2.04
Mg7 0.2517 0.0003 0.9985  2 O 1.99
O8 0.2500 0.2497 0.4986  2 Mg 1.99, 2 Co 2.04
Se8 0.4998 0.0002 0.2509  4 Co 2.72-2.73, 4 Mg 2.75-2.77
Co8 0.7508 0.7501 0.2517  2 O 2.04
Mg8 0.7517 0.0003 0.5015  2 O 1.99


Run 2
The following is a PBE with a Hubbard U calculation of a relaxed structure of MgCoSeO, from OQMD.

- M_tot: 12.00 μB/cell
- Symmetry: No. 62

Cell lengths 5.8602, 3.5095, 12.5307 Å; angles 90.00, 90.00, 90.00 degrees
Closest atoms and distances in Å follow each position.
Positions (direct):
O1 0.7243 0.7500 0.8298  2 Mg 1.93-1.94, 2 Co 2.11
Se1 0.2826 0.7500 0.4237  2 Mg 2.57, 3 Co 2.58-2.64
Co1 0.7778 0.2500 0.9191  2 O 2.11
Se2 0.2174 0.2500 0.9237  2 Mg 2.57, 3 Co 2.58-2.64
O2 0.7757 0.2500 0.3298  2 Mg 1.93-1.94, 2 Co 2.11
Co2 0.2778 0.2500 0.5809  2 O 2.11
O3 0.2243 0.7500 0.6702  2 Mg 1.93-1.94, 2 Co 2.11
O4 0.2757 0.2500 0.1702  2 Mg 1.93-1.94, 2 Co 2.11
Se3 0.7174 0.2500 0.5763  2 Mg 2.57, 3 Co 2.58-2.64
Se4 0.7826 0.7500 0.0763  2 Mg 2.57, 3 Co 2.58-2.64
Mg1 0.5994 0.2500 0.1991  2 O 1.93-1.94
Co3 0.7222 0.7500 0.4191  2 O 2.11
Mg2 0.0994 0.2500 0.3009  2 O 1.93-1.94
Mg3 0.9006 0.7500 0.6991  2 O 1.93-1.94
Co4 0.2222 0.7500 0.0809  2 O 2.11
Mg4 0.4006 0.7500 0.8009  2 O 1.93-1.94


Which is the most stable structure? run 2 is the most stable.


Run 1
The following is a PBE with a Hubbard U calculation of a relaxed structure of MgCoSeO, from OQMD.

- M_tot: 12.00 μB/cell
- Symmetry: No. 62

Cell lengths 5.6376, 3.5375, 12.9639 Å; angles 90.00, 90.00, 90.00 degrees
Closest atoms and distances in Å follow each position.
Positions (direct):
Se1 0.2361 0.2500 0.9180  2 Co 2.44, 1 Mg 2.71
Co1 0.3762 0.7500 0.8037  2 O 1.93-1.99
O1 0.7233 0.7500 0.8299  2 Co 1.93-1.99, 2 Mg 2.04
Se2 0.7361 0.2500 0.5820  2 Co 2.44, 1 Mg 2.71
O2 0.7767 0.2500 0.3299  2 Co 1.93-1.99, 2 Mg 2.04
Se3 0.7639 0.7500 0.0820  2 Co 2.44, 1 Mg 2.71
Co2 0.8762 0.7500 0.6963  2 O 1.93-1.99
Co3 0.1238 0.2500 0.3037  2 O 1.93-1.99
O3 0.2767 0.2500 0.1701  2 Co 1.93-1.99, 2 Mg 2.04
Mg1 0.7432 0.7500 0.4074  2 O 2.04
Mg2 0.7568 0.2500 0.9074  2 O 2.04
Mg3 0.2568 0.2500 0.5926  2 O 2.04
Mg4 0.2432 0.7500 0.0926  2 O 2.04
Se4 0.2639 0.7500 0.4180  2 Co 2.44, 1 Mg 2.71
O4 0.2233 0.7500 0.6701  2 Co 1.93-1.99, 2 Mg 2.04
Co4 0.6238 0.2500 0.1963  2 O 1.93-1.99


Run 2
The following is a PBE with a Hubbard U calculation of a relaxed structure of MgCoSeO, from OQMD.

- M_tot: 20.75 μB/cell
- Symmetry: No. 61

Cell lengths 6.2190, 12.9470, 6.4676 Å; angles 90.00, 90.00, 90.00 degrees
Closest atoms and distances in Å follow each position.
Positions (direct):
Se1 0.5174 0.5522 0.7495  3 Co 2.42-2.50, 1 Mg 2.70
O1 0.7627 0.7835 0.6234  3 Mg 2.00-2.05, 1 Co 2.03
Se2 0.9826 0.4478 0.2495  3 Co 2.42-2.50, 1 Mg 2.70
Mg1 0.9418 0.7519 0.3712  3 O 2.00-2.05
O2 0.7373 0.2835 0.6234  3 Mg 2.00-2.05, 1 Co 2.03
Co1 0.2638 0.4377 0.9269  1 O 2.03
Mg2 0.4418 0.7481 0.6288  3 O 2.00-2.05
Co2 0.2362 0.9377 0.9269  1 O 2.03
Mg3 0.4418 0.7519 0.1288  3 O 2.00-2.05
Mg4 0.9418 0.7481 0.8712  3 O 2.00-2.05
O3 0.2373 0.2165 0.3766  3 Mg 2.00-2.05, 1 Co 2.03
Co3 0.2362 0.5623 0.4269  1 O 2.03
Se3 0.0174 0.9478 0.2505  3 Co 2.42-2.50, 1 Mg 2.70
Co4 0.2638 0.0623 0.4269  1 O 2.03
Co5 0.7362 0.5623 0.0731  1 O 2.03
Mg5 0.0582 0.2519 0.1288  3 O 2.00-2.05
Mg6 0.5582 0.2481 0.8712  3 O 2.00-2.05
Se4 0.9826 0.0522 0.7495  3 Co 2.42-2.50, 1 Mg 2.70
Co6 0.7638 0.0623 0.0731  1 O 2.03
Se5 0.4826 0.4478 0.2505  3 Co 2.42-2.50, 1 Mg 2.70
Co7 0.7362 0.9377 0.5731  1 O 2.03
Se6 0.0174 0.5522 0.7505  3 Co 2.42-2.50, 1 Mg 2.70
Se7 0.5174 0.9478 0.2495  3 Co 2.42-2.50, 1 Mg 2.70
Se8 0.4826 0.0522 0.7505  3 Co 2.42-2.50, 1 Mg 2.70
Mg7 0.0582 0.2481 0.6288  3 O 2.00-2.05
O4 0.2373 0.2835 0.8766  3 Mg 2.00-2.05, 1 Co 2.03
Mg8 0.5582 0.2519 0.3712  3 O 2.00-2.05
O5 0.2627 0.7835 0.8766  3 Mg 2.00-2.05, 1 Co 2.03
Co8 0.7638 0.4377 0.5731  1 O 2.03
O6 0.2627 0.7165 0.3766  3 Mg 2.00-2.05, 1 Co 2.03
O7 0.7627 0.7165 0.1234  3 Mg 2.00-2.05, 1 Co 2.03
O8 0.7373 0.2165 0.1234  3 Mg 2.00-2.05, 1 Co 2.03


Run 3
The following is a PBE with a Hubbard U calculation of a relaxed structure of MgCoSeO, from OQMD.

- M_tot: 2.00 μB/cell
- Symmetry: No. 36

Cell lengths 6.2917, 6.2917, 6.0117 Å; angles 90.00, 90.00, 30.88 degrees
Closest atoms and distances in Å follow each position.
Positions (direct):
Se1 0.6812 0.6812 0.0509  3 Co 2.41-2.60, 2 Mg 2.64
O1 0.9225 0.9225 0.0214  2 Mg 1.91-1.92, 2 Co 2.10
O2 0.0775 0.0775 0.5214  2 Mg 1.91-1.92, 2 Co 2.10
Mg1 0.9495 0.9495 0.3363  2 O 1.91-1.92
Co1 0.3197 0.3197 0.9840  2 O 2.10
Se2 0.3188 0.3188 0.5509  3 Co 2.41-2.60, 2 Mg 2.64
Mg2 0.0505 0.0505 0.8363  2 O 1.91-1.92
Co2 0.6803 0.6803 0.4840  2 O 2.10


Which is the most stable structure? run 1 is the most stable.


Run 1
The following is a PBE with a Hubbard U calculation of a relaxed structure of MgCoSeO, from OQMD.

- M_tot: 12.00 μB/cell
- Symmetry: No. 19

Cell lengths 6.2338, 6.2363, 7.2520 Å; angles 90.00, 90.00, 90.00 degrees
Closest atoms and distances in Å follow each position.
Positions (direct):
Co1 0.0396 0.8635 0.3463  2 O 1.97-2.03
Se1 0.0663 0.1295 0.8986  2 Co 2.45-2.49, 2 Mg 2.58-2.62
O1 0.4568 0.3331 0.6228  2 Mg 1.97-1.98, 2 Co 1.97-2.03
O2 0.0432 0.6669 0.1228  2 Mg 1.97-1.98, 2 Co 1.97-2.03
Se2 0.4337 0.8705 0.3986  2 Co 2.45-2.49, 2 Mg 2.58-2.62
Mg1 0.1504 0.2782 0.5691  2 O 1.97-1.98
Co2 0.9604 0.3635 0.1537  2 O 1.97-2.03
Se3 0.5663 0.3705 0.1014  2 Co 2.45-2.49, 2 Mg 2.58-2.62
O3 0.9568 0.1669 0.3772  2 Mg 1.97-1.98, 2 Co 1.97-2.03
Mg2 0.3496 0.7218 0.0691  2 O 1.97-1.98
Co3 0.5396 0.6365 0.6537  2 O 1.97-2.03
O4 0.5432 0.8332 0.8772  2 Mg 1.97-1.98, 2 Co 1.97-2.03
Co4 0.4604 0.1365 0.8463  2 O 1.97-2.03
Mg3 0.6504 0.2218 0.4309  2 O 1.97-1.98
Se4 0.9337 0.6295 0.6014  2 Co 2.45-2.49, 2 Mg 2.58-2.62
Mg4 0.8496 0.7782 0.9309  2 O 1.97-1.98


Run 2
The following is a PBE with a Hubbard U calculation of a relaxed structure of MgCoSeO, from OQMD.

- M_tot: 4.22 μB/cell
- Symmetry: No. 129

Cell lengths 3.2034, 3.2034, 12.2156 Å; angles 90.00, 90.00, 90.00 degrees
Closest atoms and distances in Å follow each position.
Positions (direct):
Se1 0.2500 0.2500 0.1484  4 Co 2.42
Co1 0.2500 0.7500 0.0000  4 Co 2.27, 4 Se 2.42
Mg1 0.2500 0.2500 0.5809  5 O 2.04-2.27
Se2 0.7500 0.7500 0.8516  4 Co 2.42
Co2 0.7500 0.2500 0.0000  4 Co 2.27, 4 Se 2.42
O1 0.7500 0.7500 0.5859  5 Mg 2.04-2.27
Mg2 0.7500 0.7500 0.4191  5 O 2.04-2.27
O2 0.2500 0.2500 0.4141  5 Mg 2.04-2.27


Which is the most stable structure? run 1 is the most stable.


Run 1
The following is a PBE with a Hubbard U calculation of a relaxed structure of MgCoSeO, from OQMD.

- M_tot: 5.96 μB/cell
- Symmetry: No. 186

Cell lengths 3.5354, 3.5355, 11.6409 Å; angles 90.00, 90.00, 120.00 degrees
Closest atoms and distances in Å follow each position.
Positions (direct):
O1 0.0000 0.0000 0.3252  1 Co 1.91, 3 Mg 2.12
Se1 0.6667 0.3333 0.0965  3 Co 2.39
Mg1 0.6667 0.3333 0.7766  3 O 2.12
O2 0.0000 0.0000 0.8252  1 Co 1.91, 3 Mg 2.12
Mg2 0.3333 0.6666 0.2766  3 O 2.12
Se2 0.3333 0.6667 0.5965  3 Co 2.39
Co1 0.0000 0.0000 0.9894  1 O 1.91
Co2 0.0000 0.0000 0.4894  1 O 1.91


Run 2
The following is a PBE with a Hubbard U calculation of a relaxed structure of MgCoSeO, from OQMD.

- M_tot: 3.77 μB/cell
- Symmetry: No. 129

Cell lengths 3.8930, 3.8930, 8.3322 Å; angles 90.00, 90.00, 90.00 degrees
Closest atoms and distances in Å follow each position.
Positions (direct):
O1 0.7500 0.7500 0.9073  1 Co 1.80, 1 Mg 1.91
Co1 0.2500 0.2500 0.3084  1 O 1.80
Se1 0.2500 0.7500 0.5000  4 Co 2.52, 4 Se 2.75
Se2 0.7500 0.2500 0.5000  4 Co 2.52, 4 Se 2.75
Mg1 0.2500 0.2500 0.8637  1 O 1.91
O2 0.2500 0.2500 0.0927  1 Co 1.80, 1 Mg 1.91
Co2 0.7500 0.7500 0.6916  1 O 1.80
Mg2 0.7500 0.7500 0.1363  1 O 1.91


Which is the most stable structure? run 1 is the most stable.